## PrDy4 (PBE)

Data for an optimized crystal structure of PrDy4.

Lattice parameters (Å, degrees): 6.1943 3.5773 14.6908 90.00 97.98 90.00
With the nearest neighbours (Å) after each atom.
Space group C2/m (No. 12)
Unique sites:
Pr (0.0000, 0.0000, 0.0000) (multiplicity 2)  6 Pr 3.58, 6 Dy 3.62
Dy (0.0989, 0.5000, 0.7955) (multiplicity 4)  9 Dy 3.53-3.58, 3 Pr 3.62
Dy (0.1996, 0.0000, 0.5987) (multiplicity 4)  12 Dy 3.53-3.58

Properties
* crystal system: monoclinic
* energy above the most stable polymorph in this dataset: 0.000 eV per atom
* N(E_F): 6.2 states/eV/f.u.
* energy of formation from the pure elements: 18 meV/atom